(1)
Material: VGeRh
Method: DFT, GGA-PBE
State: relaxed

```
VGeRh
1.0
3.593 0.000 0.000
0.000 3.593 0.000
0.000 0.000 6.650
V Ge Rh
2 2 2
direct
0.250 0.750 0.000
0.750 0.250 0.000
0.250 0.250 0.287
0.750 0.750 0.713
0.250 0.250 0.657
0.750 0.750 0.343
```

Properties
- uncorrected energy (eV per atom) = -7.457
- energy of formation from the pure elements (meV per atom) = -428

=====

(2)
Material: Er6GeTe3C2
Method: DFT, GGA-PBE
State: relaxed

```
Er6GeTe3C2
1.0
8.977 -1.950 0.000
8.977 1.950 0.000
-2.431 0.000 8.036
Er Ge Te C
6 1 3 2
direct
0.025 0.025 0.250
0.317 0.317 0.448
0.333 0.333 0.865
0.667 0.667 0.135
0.683 0.683 0.552
0.975 0.975 0.750
0.500 0.500 0.000
0.161 0.161 0.832
0.500 0.500 0.500
0.839 0.839 0.168
0.172 0.172 0.343
0.828 0.828 0.657
```

Properties
- uncorrected energy (eV per atom) = -5.929
- uncorrected formation energy (eV per atom) = -0.9399

=====

(3)
Material: LiThGeRu
Method: DFT, GGA-PBE
State: relaxed

```
LiThGeRu
1.0
0.000 3.319 3.319
3.319 0.000 3.319
3.319 3.319 0.000
Li Th Ge Ru
1 1 1 1
direct
0.000 0.000 0.000
0.250 0.250 0.250
0.750 0.750 0.750
0.500 0.500 0.500
```

Properties
- uncorrected energy (eV per atom) = -6.185
- energy of formation from the pure elements (meV per atom) = -378

=====

(4)
Material: Y3CdRh
Method: DFT, GGA-PBE
State: relaxed

```
Y3CdRh
1.0
5.352 0.000 0.000
0.000 5.352 0.000
0.000 0.000 5.352
Y Cd Rh
3 1 1
direct
0.000 0.000 0.500
0.000 0.500 0.000
0.500 0.000 0.000
0.500 0.500 0.500
0.000 0.000 0.000
```

Properties
- energy above the lowest structure with this stoichiometry (meV/atom) = 207
- uncorrected energy (eV per atom) = -5.814
- energy of formation from the pure elements (meV per atom) = -282

=====

(5)
Material: MgScAg2Mo
Method: DFT, GGA-PBE
State: relaxed

```
MgScAg2Mo
1.0
5.206 0.000 0.000
0.000 5.206 0.000
0.000 0.000 4.621
Mg Sc Ag Mo
1 1 2 1
direct
0.000 0.000 0.000
0.500 0.500 0.000
0.000 0.500 0.500
0.500 0.000 0.500
0.500 0.500 0.500
```

Properties
- uncorrected energy (eV per atom) = -3.968
- energy of formation from the pure elements (meV per atom) = 924

=====

(6)
Material: Cd2O2F
Method: DFT, GGA-PBE
State: relaxed

```
Cd2O2F
1.0
6.542 0.000 0.000
0.000 6.542 0.000
0.000 0.000 2.952
Cd O F
4 4 2
direct
0.171 0.329 0.000
0.329 0.829 0.000
0.671 0.171 0.000
0.829 0.671 0.000
0.136 0.636 0.500
0.364 0.136 0.500
0.636 0.864 0.500
0.864 0.364 0.500
0.000 0.000 0.500
0.500 0.500 0.500
```

Properties
- uncorrected energy (eV per atom) = -3.500
- uncorrected formation energy (eV per atom) = -0.7761

=====

(7)
Material: HfFeAsBr2
Method: DFT, GGA-PBE
State: relaxed

```
HfFeAsBr2
1.0
4.678 0.000 0.000
0.000 4.678 0.000
0.000 0.000 5.028
Hf Fe As Br
1 1 1 2
direct
0.000 0.000 0.000
0.500 0.500 0.500
0.500 0.500 0.000
0.000 0.500 0.500
0.500 0.000 0.500
```

Properties
- energy above the lowest structure with this stoichiometry (meV/atom) = 226
- uncorrected energy (eV per atom) = -4.793
- uncorrected formation energy (eV per atom) = 0.4888

=====

(8)
Material: BaIr2Br2
Method: DFT, GGA-PBE
State: relaxed

```
BaIr2Br2
1.0
-2.351 2.351 5.723
2.351 -2.351 5.723
2.351 2.351 -5.723
Ba Ir Br
1 2 2
direct
0.000 0.000 0.000
0.400 0.400 0.000
0.600 0.600 0.000
0.250 0.750 0.500
0.750 0.250 0.500
```

Properties
- uncorrected energy (eV per atom) = -4.495
- uncorrected formation energy (eV per atom) = 0.1032

=====

(9)
Material: MoIrAu3
Method: DFT, GGA-PBE
State: relaxed

```
MoIrAu3
1.0
5.003 0.000 0.000
0.000 5.003 0.000
0.000 0.000 5.003
Mo Ir Au
1 1 3
direct
0.000 0.000 0.000
0.500 0.500 0.500
0.000 0.500 0.500
0.500 0.000 0.500
0.500 0.500 0.000
```

Properties
- energy above the lowest structure with this stoichiometry (meV/atom) = 0
- uncorrected energy (eV per atom) = -4.384
- energy of formation from the pure elements (meV per atom) = 1520

=====

(10)
Material: In3Ga5I12
Method: DFT, GGA-PBE
State: relaxed

```
In3Ga5I12
1.0
-9.522 9.522 9.522
9.522 -9.522 9.522
9.522 9.522 -9.522
In Ga I
12 20 48
direct
0.125 0.250 0.375
0.125 0.375 0.750
0.250 0.375 0.125
0.250 0.875 0.625
0.375 0.125 0.250
0.375 0.750 0.125
0.625 0.250 0.875
0.625 0.875 0.750
0.750 0.125 0.375
0.750 0.625 0.875
0.875 0.625 0.250
0.875 0.750 0.625
0.000 0.000 0.000
0.000 0.000 0.500
0.000 0.500 0.000
0.000 0.500 0.500
0.125 0.750 0.875
0.125 0.875 0.250
0.250 0.125 0.875
0.250 0.625 0.375
0.375 0.250 0.625
0.375 0.625 0.750
0.500 0.000 0.000
0.500 0.000 0.500
0.500 0.500 0.000
0.500 0.500 0.500
0.625 0.375 0.250
0.625 0.750 0.375
0.750 0.375 0.625
0.750 0.875 0.125
0.875 0.125 0.750
0.875 0.250 0.125
0.021 0.210 0.118
0.021 0.311 0.903
0.092 0.710 0.689
0.092 0.882 0.403
0.097 0.618 0.408
0.097 0.979 0.689
0.118 0.021 0.210
0.118 0.597 0.908
0.189 0.210 0.592
0.189 0.479 0.597
0.210 0.118 0.021
0.210 0.592 0.189
0.290 0.311 0.908
0.290 0.479 0.382
0.311 0.903 0.021
0.311 0.908 0.290
0.382 0.290 0.479
0.382 0.592 0.903
0.403 0.092 0.882
0.403 0.811 0.521
0.408 0.097 0.618
0.408 0.811 0.790
0.479 0.382 0.290
0.479 0.597 0.189
0.521 0.403 0.811
0.521 0.618 0.710
0.592 0.189 0.210
0.592 0.903 0.382
0.597 0.189 0.479
0.597 0.908 0.118
0.618 0.408 0.097
0.618 0.710 0.521
0.689 0.092 0.710
0.689 0.097 0.979
0.710 0.521 0.618
0.710 0.689 0.092
0.790 0.408 0.811
0.790 0.882 0.979
0.811 0.521 0.403
0.811 0.790 0.408
0.882 0.403 0.092
0.882 0.979 0.790
0.903 0.021 0.311
0.903 0.382 0.592
0.908 0.118 0.597
0.908 0.290 0.311
0.979 0.689 0.097
0.979 0.790 0.882
```

Properties
- uncorrected energy (eV per atom) = -2.470
- uncorrected formation energy (eV per atom) = -0.3721

=====

(11)
Material: LiZn2Tc
Method: DFT, GGA-PBE
State: relaxed

```
LiZn2Tc
1.0
2.559 0.000 0.000
0.000 4.227 0.000
0.000 0.000 5.294
Li Zn Tc
1 2 1
direct
0.000 0.000 0.000
0.000 0.000 0.479
0.500 0.500 0.771
0.500 0.500 0.266
```

Properties
- energy above the lowest structure with this stoichiometry (meV/atom) = 184
- uncorrected energy (eV per atom) = -3.610
- energy of formation from the pure elements (meV per atom) = 97

=====

(12)
Material: AcIrPb
Method: DFT, GGA-PBE
State: relaxed

```
AcIrPb
1.0
0.000 3.528 3.528
3.528 0.000 3.528
3.528 3.528 0.000
Ac Ir Pb
1 1 1
direct
0.000 0.000 0.000
0.250 0.250 0.250
0.500 0.500 0.500
```

Properties
- energy above the lowest structure with this stoichiometry (meV/atom) = 119
- uncorrected energy (eV per atom) = -5.912
- energy of formation from the pure elements (meV per atom) = -353

=====

(13)
Material: TbPmSm2Sb4
Method: DFT, GGA-PBE
State: relaxed

```
TbPmSm2Sb4
1.0
7.724 0.000 0.000
0.000 4.462 0.000
-2.575 0.000 7.282
Tb Pm Sm Sb
1 1 2 4
direct
0.000 0.000 0.000
0.500 0.500 0.000
0.000 0.500 0.500
0.500 0.000 0.500
0.247 0.500 0.248
0.248 0.000 0.751
0.752 0.000 0.249
0.753 0.500 0.752
```

Properties
- uncorrected energy (eV per atom) = -5.584
- uncorrected formation energy (eV per atom) = -1.1708

=====

(14)
Material: RbBi4Pb12
Method: DFT, GGA-PBE
State: relaxed

```
RbBi4Pb12
1.0
-5.478 5.478 5.478
5.478 -5.478 5.478
5.478 5.478 -5.478
Rb Bi Pb
1 4 12
direct
0.000 0.000 0.000
0.000 0.000 0.500
0.000 0.500 0.000
0.500 0.000 0.000
0.500 0.500 0.500
0.147 0.357 0.504
0.147 0.643 0.789
0.211 0.853 0.357
0.357 0.211 0.853
0.357 0.504 0.147
0.496 0.853 0.643
0.504 0.147 0.357
0.643 0.496 0.853
0.643 0.789 0.147
0.789 0.147 0.643
0.853 0.357 0.211
0.853 0.643 0.496
```

Properties
- uncorrected energy (eV per atom) = -3.489
- energy of formation from the pure elements (meV per atom) = 99

=====

(15)
Material: K2SrLa
Method: DFT, GGA-PBE
State: relaxed

```
K2SrLa
1.0
4.000 0.000 0.000
0.000 4.000 0.000
0.000 0.000 13.737
K Sr La
2 1 1
direct
0.000 0.000 0.000
0.500 0.500 0.286
0.500 0.500 0.736
0.000 0.000 0.529
```

Properties
- energy above the lowest structure with this stoichiometry (meV/atom) = 24
- uncorrected energy (eV per atom) = -1.983
- energy of formation from the pure elements (meV per atom) = 218

=====

(16)
Material: Nb3BPd
Method: DFT, GGA-PBE
State: relaxed

```
Nb3BPd
1.0
4.345 0.000 0.000
0.000 4.345 0.000
0.000 0.000 4.345
Nb B Pd
3 1 1
direct
0.000 0.000 0.500
0.000 0.500 0.000
0.500 0.000 0.000
0.000 0.000 0.000
0.500 0.500 0.500
```

Properties
- energy above the lowest structure with this stoichiometry (meV/atom) = 0
- uncorrected energy (eV per atom) = -8.449
- energy of formation from the pure elements (meV per atom) = -34

=====

(17)
Material: Ca2TcRu
Method: DFT, GGA-PBE
State: relaxed

```
Ca2TcRu
1.0
3.248 0.000 0.000
0.000 3.248 0.000
0.000 0.000 8.905
Ca Tc Ru
2 1 1
direct
0.000 0.000 0.000
0.500 0.500 0.390
0.500 0.500 0.756
0.000 0.000 0.629
```

Properties
- energy above the lowest structure with this stoichiometry (meV/atom) = 0
- uncorrected energy (eV per atom) = -5.697
- energy of formation from the pure elements (meV per atom) = 214

=====

(18)
Material: CsTc3N
Method: DFT, GGA-PBE
State: relaxed

```
CsTc3N
1.0
4.300 0.000 0.000
0.000 4.300 0.000
0.000 0.000 4.300
Cs Tc N
1 3 1
direct
0.000 0.000 0.000
0.000 0.500 0.500
0.500 0.000 0.500
0.500 0.500 0.000
0.500 0.500 0.500
```

Properties
- energy above the lowest structure with this stoichiometry (meV/atom) = 0
- uncorrected energy (eV per atom) = -6.670
- uncorrected formation energy (eV per atom) = 1.3858

=====

(19)
Material: Tb3Ag2Sn
Method: DFT, GGA-PBE
State: relaxed

```
Tb3Ag2Sn
1.0
2.602 -7.915 0.000
2.602 7.915 0.000
0.000 0.000 3.692
Tb Ag Sn
3 2 1
direct
0.000 0.000 0.000
0.331 0.669 0.000
0.669 0.331 0.000
0.171 0.829 0.500
0.829 0.171 0.500
0.500 0.500 0.500
```

Properties
- uncorrected energy (eV per atom) = -4.364
- energy of formation from the pure elements (meV per atom) = -431

=====

(20)
Material: HfCuHPd
Method: DFT, GGA-PBE
State: relaxed

```
HfCuHPd
1.0
3.609 0.000 0.000
0.000 3.609 0.000
0.000 0.000 8.029
Hf Cu H Pd
2 2 2 2
direct
0.250 0.250 0.132
0.750 0.750 0.868
0.250 0.750 0.500
0.750 0.250 0.500
0.250 0.750 0.000
0.750 0.250 0.000
0.250 0.250 0.734
0.750 0.750 0.266
```

Properties
- uncorrected energy (eV per atom) = -6.011